First-principles (SCAN) data for a crystal of P2WSN relaxed with PBEsol, as listed in Alexandria via LeMat-Bulk.

Values from the calculation:
M_tot = 2.3 μB/cell
ΔE_f (raw) = 6.50 eV per formula unit
DFT total energy = -20.5803 eV/atom

a b c (Å): 4.580 4.679 4.679
angles (deg): 90.00 90.00 90.00
Each line ends with the local moment (μB).
Atoms (fractional coordinates):
1 P 0.000 0.000 0.500  -0.14
2 P 0.000 0.500 0.000  -0.14
3 W 0.000 0.000 0.000  0.17
4 S 0.500 0.000 0.000  0.01
5 N 0.500 0.500 0.500  1.82